The following is a DFT calculation (GGA-PBE) of La2Zr after structural relaxation.

```
La2Zr
1.0
-5.838 -0.906 3.848
-5.250 -4.008 2.465
2.747 -2.693 7.213
La Zr
4 2
Cartesian
1.417 -1.990 5.070
-4.373 -5.810 11.180
-3.968 -1.797 2.346
-9.758 -5.617 8.456
-6.910 -4.485 7.128
-1.431 -3.121 6.398
```

The size of the total moment comes out at 0.0 μB per cell. Its total DFT energy (no corrections) is -5.983 eV per atom. For the formation energy, the calculation gives 44 kJ/mol of formula units.